Entry from Alexandria via LeMat-Bulk: an optimized crystal structure of RbSnP2S6 (PBE).

Cell lengths 9.8058, 9.8058, 8.6792 Å; angles 101.18, 101.18, 118.25 degrees
Last column: nearest neighbours and their distance in Å.
Positions (direct):
Rb  0.1806  0.8194  0.2500  8 S 3.58-3.91, 4 P 3.86-3.90
Rb  0.8194  0.1806  0.7500  8 S 3.58-3.91, 4 P 3.86-3.90
Sn  0.5070  0.4930  0.2500  4 S 2.72-2.90
Sn  0.4930  0.5070  0.7500  4 S 2.72-2.90
P  0.3967  0.1299  0.7031  3 S 1.95-2.04
P  0.8701  0.6033  0.7969  3 S 1.95-2.04
P  0.6033  0.8701  0.2969  3 S 1.95-2.04
P  0.1299  0.3967  0.2031  3 S 1.95-2.04
S  0.9101  0.3519  0.1871  1 P 1.95
S  0.6481  0.0899  0.3129  1 P 1.95
S  0.0899  0.6481  0.8129  1 P 1.95
S  0.3519  0.9101  0.6871  1 P 1.95
S  0.1675  0.2415  0.0576  1 P 2.00
S  0.7585  0.8325  0.4424  1 P 2.00
S  0.8325  0.7585  0.9424  1 P 2.00
S  0.2415  0.1675  0.5576  1 P 2.00
S  0.3216  0.5490  0.4184  1 P 2.04
S  0.4510  0.6784  0.0816  1 P 2.04
S  0.6784  0.4510  0.5816  1 P 2.04
S  0.5490  0.3216  0.9184  1 P 2.04

Values from the calculation:
Magnetic moment, μB per formula unit: 0.57
Symmetry: C2/c
ΔE_f (raw), meV/atom: -348



Entry from Alexandria via LeMat-Bulk: an optimized crystal structure of RbSnP2S (PBE).

Cell lengths 5.3795, 5.3795, 5.5137 Å; angles 90.00, 90.00, 90.00 degrees
Last column: nearest neighbours and their distance in Å.
Positions (direct):
P  0.0000  0.5000  0.0000  2 Rb 2.69
P  0.5000  0.0000  0.0000  2 Rb 2.69
S  0.0000  0.0000  0.5000  2 Rb 2.76
Sn  0.5000  0.5000  0.5000  4 S 3.80, 8 P 3.85
Rb  0.0000  0.0000  0.0000  4 P 2.69, 2 S 2.76

Values from the calculation:
Relative energy among the computed polymorphs, eV/f.u.: 6.237
Magnetic moment, μB per formula unit: 1.33
Symmetry: P4/mmm
ΔE_f (raw), meV/atom: 1593



Please write out number 2 again, unchanged.
Entry from Alexandria via LeMat-Bulk: an optimized crystal structure of RbSnP2S (PBE).

Cell lengths 5.3795, 5.3795, 5.5137 Å; angles 90.00, 90.00, 90.00 degrees
Last column: nearest neighbours and their distance in Å.
Positions (direct):
P  0.0000  0.5000  0.0000  2 Rb 2.69
P  0.5000  0.0000  0.0000  2 Rb 2.69
S  0.0000  0.0000  0.5000  2 Rb 2.76
Sn  0.5000  0.5000  0.5000  4 S 3.80, 8 P 3.85
Rb  0.0000  0.0000  0.0000  4 P 2.69, 2 S 2.76

Values from the calculation:
Relative energy among the computed polymorphs, eV/f.u.: 6.237
Magnetic moment, μB per formula unit: 1.33
Symmetry: P4/mmm
ΔE_f (raw), meV/atom: 1593



Look up the ΔE_f (raw) of the first one.
-348 meV/atom



Please write out number 1 again, unchanged.
Entry from Alexandria via LeMat-Bulk: an optimized crystal structure of RbSnP2S6 (PBE).

Cell lengths 9.8058, 9.8058, 8.6792 Å; angles 101.18, 101.18, 118.25 degrees
Last column: nearest neighbours and their distance in Å.
Positions (direct):
Rb  0.1806  0.8194  0.2500  8 S 3.58-3.91, 4 P 3.86-3.90
Rb  0.8194  0.1806  0.7500  8 S 3.58-3.91, 4 P 3.86-3.90
Sn  0.5070  0.4930  0.2500  4 S 2.72-2.90
Sn  0.4930  0.5070  0.7500  4 S 2.72-2.90
P  0.3967  0.1299  0.7031  3 S 1.95-2.04
P  0.8701  0.6033  0.7969  3 S 1.95-2.04
P  0.6033  0.8701  0.2969  3 S 1.95-2.04
P  0.1299  0.3967  0.2031  3 S 1.95-2.04
S  0.9101  0.3519  0.1871  1 P 1.95
S  0.6481  0.0899  0.3129  1 P 1.95
S  0.0899  0.6481  0.8129  1 P 1.95
S  0.3519  0.9101  0.6871  1 P 1.95
S  0.1675  0.2415  0.0576  1 P 2.00
S  0.7585  0.8325  0.4424  1 P 2.00
S  0.8325  0.7585  0.9424  1 P 2.00
S  0.2415  0.1675  0.5576  1 P 2.00
S  0.3216  0.5490  0.4184  1 P 2.04
S  0.4510  0.6784  0.0816  1 P 2.04
S  0.6784  0.4510  0.5816  1 P 2.04
S  0.5490  0.3216  0.9184  1 P 2.04

Values from the calculation:
Magnetic moment, μB per formula unit: 0.57
Symmetry: C2/c
ΔE_f (raw), meV/atom: -348



What is the formula in the second record?
RbSnP2S